A plane-wave DFT calculation with GGA-PBE was carried out for a geometry-optimized LaPrSnGe structure.

Cell: 4.701 4.261 6.266 Å, 90.00 112.03 90.00°
Positions (direct):
Sn 0.581 0.500 0.162
La 0.865 0.500 0.730
Pr 0.141 0.000 0.282
Ge 0.413 0.000 0.827

Summary:
Space group: No. 38
Formation energy from the elements, kJ/mol of formula units: -309
DOS(E_F), states/eV per cell: 3.40

***

A plane-wave DFT calculation with GGA-PBE was carried out for a geometry-optimized LaPrTlGe structure.

Cell: 5.444 5.444 5.444 Å, 60.00 60.00 60.00°
Positions (direct):
La 0.750 0.750 0.750
Ge 0.500 0.500 0.500
Tl 0.000 0.000 0.000
Pr 0.250 0.250 0.250

Summary:
Space group: No. 216
Formation energy from the elements, kJ/mol of formula units: -186
DOS(E_F), states/eV per cell: 2.75

***

A plane-wave DFT calculation with GGA-PBE was carried out for a geometry-optimized La3Pr3Tl2Ge structure.

Cell: 4.309 8.785 8.785 Å, 120.00 90.00 90.00°
Positions (direct):
La 0.500 0.000 0.741
La 0.500 0.741 0.000
La 0.500 0.259 0.259
Tl 0.500 0.333 0.667
Tl 0.500 0.667 0.333
Pr 0.000 0.000 0.397
Pr 0.000 0.397 0.000
Pr 0.000 0.603 0.603
Ge 0.000 0.000 0.000

Summary:
Space group: No. 189
Formation energy from the elements, kJ/mol of formula units: -338
DOS(E_F), states/eV per cell: 14.64

***

A plane-wave DFT calculation with GGA-PBE was carried out for a geometry-optimized La2PrZn2Ge2 structure.

Cell: 4.235 4.235 12.145 Å, 79.96 79.96 60.00°
Each line ends with the local moment (μB).
Positions (direct):
La 0.121 0.121 0.637  0.17
La 0.879 0.879 0.363  0.17
Pr 0.000 0.000 0.000  0.00
Zn 0.605 0.605 0.186  0.00
Zn 0.395 0.395 0.814  0.00
Ge 0.274 0.274 0.179  0.01
Ge 0.726 0.726 0.821  0.01

Summary:
Space group: No. 166
Formation energy from the elements, kJ/mol of formula units: -347
DOS(E_F), states/eV per cell: 5.71